## P
# Ta3OsPt PBE relaxed
data_Ta3OsPt
_cell_length_a 4.7835
_cell_length_b 4.7835
_cell_length_c 4.7835
_cell_angle_alpha 90.00
_cell_angle_beta 90.00
_cell_angle_gamma 90.00
_symmetry_space_group_name_H-M 'P 1'
_symmetry_Int_Tables_number 1
loop_
_symmetry_equiv_pos_as_xyz
'x,y,z'
loop_
_atom_site_label
_atom_site_type_symbol
_atom_site_fract_x
_atom_site_fract_y
_atom_site_fract_z
Ta1 Ta 0.0000 0.0000 0.5000
Ta2 Ta 0.0000 0.5000 0.0000
Ta3 Ta 0.5000 0.0000 0.0000
Os1 Os 0.5000 0.5000 0.5000
Pt1 Pt 0.0000 0.0000 0.0000
# **Fermi-level density of states**: 6.00 states/eV/cell
# **Crystal system**: cubic
# **Space group**: Pm-3m (221)

## Q
# Ta3OsPt PBE relaxed
data_Ta3OsPt
_cell_length_a 4.7835
_cell_length_b 4.7835
_cell_length_c 4.7835
_cell_angle_alpha 90.00
_cell_angle_beta 90.00
_cell_angle_gamma 90.00
_symmetry_space_group_name_H-M 'P 1'
_symmetry_Int_Tables_number 1
loop_
_symmetry_equiv_pos_as_xyz
'x,y,z'
loop_
_atom_site_label
_atom_site_type_symbol
_atom_site_fract_x
_atom_site_fract_y
_atom_site_fract_z
Ta1 Ta 0.0000 0.0000 0.5000
Ta2 Ta 0.0000 0.5000 0.0000
Ta3 Ta 0.5000 0.0000 0.0000
Os1 Os 0.0000 0.0000 0.0000
Pt1 Pt 0.5000 0.5000 0.5000
# **Fermi-level density of states**: 5.28 states/eV/cell
# **Crystal system**: cubic
# **Space group**: Pm-3m (221)

Q comes first in stability; the runner-up is 46.5 kJ/mol of atoms higher.

## P
# Ta2OsPt2 PBE relaxed
data_Ta2OsPt2
_cell_length_a 7.2029
_cell_length_b 7.2029
_cell_length_c 3.2514
_cell_angle_alpha 90.00
_cell_angle_beta 90.00
_cell_angle_gamma 90.00
_symmetry_space_group_name_H-M 'P 1'
_symmetry_Int_Tables_number 1
loop_
_symmetry_equiv_pos_as_xyz
'x,y,z'
loop_
_atom_site_label
_atom_site_type_symbol
_atom_site_fract_x
_atom_site_fract_y
_atom_site_fract_z
Ta1 Ta 0.1764 0.3236 0.0000
Ta2 Ta 0.3236 0.8236 0.0000
Ta3 Ta 0.6764 0.1764 0.0000
Ta4 Ta 0.8236 0.6764 0.0000
Os1 Os 0.0000 0.0000 0.5000
Os2 Os 0.5000 0.5000 0.5000
Pt1 Pt 0.1287 0.6287 0.5000
Pt2 Pt 0.3713 0.1287 0.5000
Pt3 Pt 0.6287 0.8713 0.5000
Pt4 Pt 0.8713 0.3713 0.5000
# **Fermi-level density of states**: 7.45 states/eV/cell
# **Crystal system**: tetragonal
# **Space group**: P4/mbm (127)

## Q
# Ta2OsPt2 PBE relaxed
data_Ta2OsPt2
_cell_length_a 7.8668
_cell_length_b 7.8668
_cell_length_c 2.9236
_cell_angle_alpha 90.00
_cell_angle_beta 90.00
_cell_angle_gamma 152.33
_symmetry_space_group_name_H-M 'P 1'
_symmetry_Int_Tables_number 1
loop_
_symmetry_equiv_pos_as_xyz
'x,y,z'
loop_
_atom_site_label
_atom_site_type_symbol
_atom_site_fract_x
_atom_site_fract_y
_atom_site_fract_z
Ta1 Ta 0.0999 0.9001 0.0000
Ta2 Ta 0.9001 0.0999 0.0000
Os1 Os 0.5000 0.5000 0.5000
Pt1 Pt 0.3143 0.6857 0.5000
Pt2 Pt 0.6857 0.3143 0.5000
# **Fermi-level density of states**: 3.49 states/eV/cell
# **Crystal system**: orthorhombic
# **Space group**: Cmmm (65)

Q comes first in stability; the runner-up is 13.7 kJ/mol of atoms higher.

## P
# Tb8OsPt2 PBE relaxed
data_Tb8OsPt2
_cell_length_a 7.6117
_cell_length_b 7.6117
_cell_length_c 6.0530
_cell_angle_alpha 100.92
_cell_angle_beta 100.92
_cell_angle_gamma 112.90
_symmetry_space_group_name_H-M 'P 1'
_symmetry_Int_Tables_number 1
loop_
_symmetry_equiv_pos_as_xyz
'x,y,z'
loop_
_atom_site_label
_atom_site_type_symbol
_atom_site_fract_x
_atom_site_fract_y
_atom_site_fract_z
Tb1 Tb 0.0000 0.0000 0.0000
Tb2 Tb 0.0172 0.2727 0.5889
Tb3 Tb 0.1456 0.5642 0.1790
Tb4 Tb 0.2727 0.0172 0.5889
Tb5 Tb 0.4301 0.6849 0.7929
Tb6 Tb 0.5642 0.1456 0.1790
Tb7 Tb 0.6849 0.4301 0.7929
Tb8 Tb 0.7048 0.7048 0.3574
Os1 Os 0.3532 0.3532 0.0094
Pt1 Pt 0.0345 0.6619 0.6795
Pt2 Pt 0.6619 0.0345 0.6795
# **Fermi-level density of states**: 12.00 states/eV/cell
# **Crystal system**: monoclinic
# **Space group**: Cm (8)

## Q
# Tb8OsPt2 PBE relaxed
data_Tb8OsPt2
_cell_length_a 9.0079
_cell_length_b 9.0079
_cell_length_c 6.8320
_cell_angle_alpha 105.36
_cell_angle_beta 105.36
_cell_angle_gamma 32.37
_symmetry_space_group_name_H-M 'P 1'
_symmetry_Int_Tables_number 1
loop_
_symmetry_equiv_pos_as_xyz
'x,y,z'
loop_
_atom_site_label
_atom_site_type_symbol
_atom_site_fract_x
_atom_site_fract_y
_atom_site_fract_z
Tb1 Tb 0.0314 0.0314 0.2933
Tb2 Tb 0.2026 0.2026 0.8116
Tb3 Tb 0.3351 0.3351 0.5348
Tb4 Tb 0.4086 0.4086 0.0602
Tb5 Tb 0.5914 0.5914 0.9398
Tb6 Tb 0.6649 0.6649 0.4652
Tb7 Tb 0.7974 0.7974 0.1884
Tb8 Tb 0.9686 0.9686 0.7067
Os1 Os 0.5000 0.5000 0.5000
Pt1 Pt 0.1891 0.1891 0.2113
Pt2 Pt 0.8109 0.8109 0.7887
# **Fermi-level density of states**: 11.37 states/eV/cell
# **Crystal system**: monoclinic
# **Space group**: C2/m (12)

Q comes first in stability; the runner-up is 8.4 kJ/mol of atoms higher.

## P
# Te2OsPt PBE relaxed
data_Te2OsPt
_cell_length_a 4.8694
_cell_length_b 4.1608
_cell_length_c 4.8795
_cell_angle_alpha 90.00
_cell_angle_beta 115.25
_cell_angle_gamma 90.00
_symmetry_space_group_name_H-M 'P 1'
_symmetry_Int_Tables_number 1
loop_
_symmetry_equiv_pos_as_xyz
'x,y,z'
loop_
_atom_site_label
_atom_site_type_symbol
_atom_site_fract_x
_atom_site_fract_y
_atom_site_fract_z
Te1 Te 0.0000 0.0000 0.0000
Te2 Te 0.3857 0.5000 0.6133
Os1 Os 0.5887 0.0000 0.4124
Pt1 Pt 0.7919 0.5000 0.2064
# **Fermi-level density of states**: 2.42 states/eV/cell
# **Crystal system**: monoclinic
# **Space group**: Pm (6)

## Q
# Te2OsPt PBE relaxed
data_Te2OsPt
_cell_length_a 3.4053
_cell_length_b 3.8082
_cell_length_c 7.0574
_cell_angle_alpha 90.00
_cell_angle_beta 90.00
_cell_angle_gamma 90.00
_symmetry_space_group_name_H-M 'P 1'
_symmetry_Int_Tables_number 1
loop_
_symmetry_equiv_pos_as_xyz
'x,y,z'
loop_
_atom_site_label
_atom_site_type_symbol
_atom_site_fract_x
_atom_site_fract_y
_atom_site_fract_z
Te1 Te 0.0000 0.0000 0.0000
Te2 Te 0.5000 0.5000 0.4738
Os1 Os 0.0000 0.0000 0.6282
Pt1 Pt 0.5000 0.5000 0.8544
# **Fermi-level density of states**: 2.73 states/eV/cell
# **Crystal system**: orthorhombic
# **Space group**: Pmm2 (25)

## R
# Te2OsPt PBE relaxed
data_Te2OsPt
_cell_length_a 5.5269
_cell_length_b 5.5269
_cell_length_c 5.5269
_cell_angle_alpha 136.88
_cell_angle_beta 136.88
_cell_angle_gamma 62.63
_symmetry_space_group_name_H-M 'P 1'
_symmetry_Int_Tables_number 1
loop_
_symmetry_equiv_pos_as_xyz
'x,y,z'
loop_
_atom_site_label
_atom_site_type_symbol
_atom_site_fract_x
_atom_site_fract_y
_atom_site_fract_z
Te1 Te 0.0000 0.0000 0.0000
Te2 Te 0.7500 0.2500 0.5000
Os1 Os 0.2500 0.7500 0.5000
Pt1 Pt 0.5000 0.5000 0.0000
# **Fermi-level density of states**: 3.38 states/eV/cell
# **Crystal system**: tetragonal
# **Space group**: I-4m2 (119)

## S
# Te2OsPt PBE relaxed
data_Te2OsPt
_cell_length_a 4.7806
_cell_length_b 4.7806
_cell_length_c 4.7806
_cell_angle_alpha 60.00
_cell_angle_beta 60.00
_cell_angle_gamma 60.00
_symmetry_space_group_name_H-M 'P 1'
_symmetry_Int_Tables_number 1
loop_
_symmetry_equiv_pos_as_xyz
'x,y,z'
loop_
_atom_site_label
_atom_site_type_symbol
_atom_site_fract_x
_atom_site_fract_y
_atom_site_fract_z
Te1 Te 0.2500 0.2500 0.2500
Te2 Te 0.7500 0.7500 0.7500
Os1 Os 0.0000 0.0000 0.0000
Pt1 Pt 0.5000 0.5000 0.5000
# **Fermi-level density of states**: 1.93 states/eV/cell
# **Crystal system**: cubic
# **Space group**: Fm-3m (225)

P comes first in stability; the runner-up is 3.8 kJ/mol of atoms higher.

## P
# Te2OsPt PBE relaxed
data_Te2OsPt
_cell_length_a 3.0894
_cell_length_b 3.0894
_cell_length_c 9.4996
_cell_angle_alpha 90.00
_cell_angle_beta 90.00
_cell_angle_gamma 118.89
_symmetry_space_group_name_H-M 'P 1'
_symmetry_Int_Tables_number 1
loop_
_symmetry_equiv_pos_as_xyz
'x,y,z'
loop_
_atom_site_label
_atom_site_type_symbol
_atom_site_fract_x
_atom_site_fract_y
_atom_site_fract_z
Te1 Te 0.0000 0.0000 0.2385
Te2 Te 0.0000 0.0000 0.7615
Os1 Os 0.5000 0.5000 0.0000
Pt1 Pt 0.5000 0.5000 0.5000
# **Fermi-level density of states**: 4.15 states/eV/cell
# **Crystal system**: orthorhombic
# **Space group**: Cmmm (65)

## Q
# Te2OsPt PBE relaxed
data_Te2OsPt
_cell_length_a 3.9140
_cell_length_b 3.8896
_cell_length_c 5.5167
_cell_angle_alpha 90.00
_cell_angle_beta 90.45
_cell_angle_gamma 90.00
_symmetry_space_group_name_H-M 'P 1'
_symmetry_Int_Tables_number 1
loop_
_symmetry_equiv_pos_as_xyz
'x,y,z'
loop_
_atom_site_label
_atom_site_type_symbol
_atom_site_fract_x
_atom_site_fract_y
_atom_site_fract_z
Te1 Te 0.0000 0.0000 0.0000
Te2 Te 0.5000 0.5000 0.5000
Os1 Os 0.0000 0.0000 0.5000
Pt1 Pt 0.5000 0.5000 0.0000
# **Fermi-level density of states**: 3.21 states/eV/cell
# **Crystal system**: monoclinic
# **Space group**: P2/m (10)

Q comes first in stability; the runner-up is 34.0 kJ/mol of atoms higher.

## P
# Te2OsPt PBE relaxed
data_Te2OsPt
_cell_length_a 8.3252
_cell_length_b 8.3252
_cell_length_c 8.3252
_cell_angle_alpha 26.53
_cell_angle_beta 26.53
_cell_angle_gamma 26.53
_symmetry_space_group_name_H-M 'P 1'
_symmetry_Int_Tables_number 1
loop_
_symmetry_equiv_pos_as_xyz
'x,y,z'
loop_
_atom_site_label
_atom_site_type_symbol
_atom_site_fract_x
_atom_site_fract_y
_atom_site_fract_z
Te1 Te 0.1055 0.1055 0.1055
Te2 Te 0.8945 0.8945 0.8945
Os1 Os 0.5000 0.5000 0.5000
Pt1 Pt 0.0000 0.0000 0.0000
# **Fermi-level density of states**: 5.13 states/eV/cell
# **Crystal system**: trigonal
# **Space group**: R-3m (166)

## Q
# Te2OsPt PBE relaxed
data_Te2OsPt
_cell_length_a 3.3182
_cell_length_b 4.5721
_cell_length_c 5.1988
_cell_angle_alpha 90.00
_cell_angle_beta 90.00
_cell_angle_gamma 90.00
_symmetry_space_group_name_H-M 'P 1'
_symmetry_Int_Tables_number 1
loop_
_symmetry_equiv_pos_as_xyz
'x,y,z'
loop_
_atom_site_label
_atom_site_type_symbol
_atom_site_fract_x
_atom_site_fract_y
_atom_site_fract_z
Te1 Te 0.0000 0.0000 0.0000
Te2 Te 0.5000 0.0000 0.5000
Os1 Os 0.0000 0.5000 0.5000
Pt1 Pt 0.5000 0.5000 0.0000
# **Fermi-level density of states**: 4.50 states/eV/cell
# **Crystal system**: orthorhombic
# **Space group**: Pmmm (47)

P comes first in stability; the runner-up is 43.3 kJ/mol of atoms higher.